(1)
Below is a geometry-optimized CeH4Cl5 structure, with properties calculated at the PBE-GGA level.

Calculated values
E (eV/atom): -3.40
Density of states at the Fermi level (states/eV per cell): 9.1

CIF file:
```
data_CeH4Cl5
_space_group_name_H-M_alt 'P 1'
_space_group_IT_number 1
_cell_length_a 6.640
_cell_length_b 6.640
_cell_length_c 6.640
_cell_angle_alpha 99.99
_cell_angle_beta 99.99
_cell_angle_gamma 130.78
loop_
_space_group_symop_operation_xyz
'x,y,z'
loop_
_atom_site_label
_atom_site_fract_x
_atom_site_fract_y
_atom_site_fract_z
_atom_site_occupancy
Ce1 0.000 0.000 0.000 1
H1 0.033 0.607 0.176 1
H2 0.431 0.857 0.824 1
H3 0.607 0.431 0.574 1
H4 0.857 0.033 0.426 1
Cl1 0.147 0.733 0.771 1
Cl2 0.376 0.147 0.413 1
Cl3 0.507 0.507 0.000 1
Cl4 0.733 0.962 0.587 1
Cl5 0.962 0.376 0.229 1
```

=====

(2)
Below is a geometry-optimized BaBePb structure, with properties calculated at the PBE-GGA level.

Calculated values
E (eV/atom): -2.87
Density of states at the Fermi level (states/eV per cell): 3.2

CIF file:
```
data_BaBePb
_space_group_name_H-M_alt 'P 1'
_space_group_IT_number 1
_cell_length_a 6.765
_cell_length_b 6.757
_cell_length_c 3.740
_cell_angle_alpha 74.06
_cell_angle_beta 73.83
_cell_angle_gamma 32.11
loop_
_space_group_symop_operation_xyz
'x,y,z'
loop_
_atom_site_label
_atom_site_fract_x
_atom_site_fract_y
_atom_site_fract_z
_atom_site_occupancy
Ba1 0.000 0.000 0.000 1
Be1 0.310 0.310 0.690 1
Pb1 0.718 0.718 0.282 1
```

=====

(3)
Below is a geometry-optimized K2ZrCrI structure, with properties calculated at the PBE-GGA level.

Calculated values
E_form (uncorrected) (meV/atom): 890
E (eV/atom): -3.49
Density of states at the Fermi level (states/eV per cell): 5.3

CIF file:
```
data_K2ZrCrI
_space_group_name_H-M_alt 'P 1'
_space_group_IT_number 1
_cell_length_a 6.509
_cell_length_b 6.509
_cell_length_c 5.615
_cell_angle_alpha 90.00
_cell_angle_beta 90.00
_cell_angle_gamma 90.00
loop_
_space_group_symop_operation_xyz
'x,y,z'
loop_
_atom_site_label
_atom_site_fract_x
_atom_site_fract_y
_atom_site_fract_z
_atom_site_occupancy
K1 0.000 0.500 0.000 1
K2 0.500 0.000 0.000 1
Zr1 0.000 0.000 0.500 1
Cr1 0.500 0.500 0.500 1
I1 0.000 0.000 0.000 1
```

=====

(4)
Below is a geometry-optimized Sr2NiPb structure, with properties calculated at the PBE-GGA level.

Calculated values
E (eV/atom): -3.13
Density of states at the Fermi level (states/eV per cell): 4.8

CIF file:
```
data_Sr2NiPb
_space_group_name_H-M_alt 'P 1'
_space_group_IT_number 1
_cell_length_a 6.994
_cell_length_b 6.994
_cell_length_c 6.994
_cell_angle_alpha 103.38
_cell_angle_beta 103.38
_cell_angle_gamma 122.50
loop_
_space_group_symop_operation_xyz
'x,y,z'
loop_
_atom_site_label
_atom_site_fract_x
_atom_site_fract_y
_atom_site_fract_z
_atom_site_occupancy
Sr1 0.064 0.625 0.939 1
Sr2 0.375 0.314 0.439 1
Sr3 0.686 0.125 0.061 1
Sr4 0.875 0.936 0.561 1
Ni1 0.000 0.000 0.000 1
Ni2 0.750 0.250 0.500 1
Pb1 0.250 0.750 0.500 1
Pb2 0.500 0.500 0.000 1
```

=====

(5)
Below is a geometry-optimized DyBeCu11 structure, with properties calculated at the PBE-GGA level.

Calculated values
E (eV/atom): -4.21
Density of states at the Fermi level (states/eV per cell): 5.4

CIF file:
```
data_DyBeCu11
_space_group_name_H-M_alt 'P 1'
_space_group_IT_number 1
_cell_length_a 6.374
_cell_length_b 6.374
_cell_length_c 6.394
_cell_angle_alpha 97.45
_cell_angle_beta 97.45
_cell_angle_gamma 136.14
loop_
_space_group_symop_operation_xyz
'x,y,z'
loop_
_atom_site_label
_atom_site_fract_x
_atom_site_fract_y
_atom_site_fract_z
_atom_site_occupancy
Dy1 0.000 0.000 0.000 1
Be1 0.500 0.500 0.500 1
Cu1 0.000 0.000 0.500 1
Cu2 0.000 0.500 0.000 1
Cu3 0.001 0.650 0.644 1
Cu4 0.290 0.507 0.771 1
Cu5 0.350 0.999 0.356 1
Cu6 0.493 0.710 0.229 1
Cu7 0.500 0.000 0.000 1
Cu8 0.507 0.290 0.771 1
Cu9 0.650 0.001 0.644 1
Cu10 0.710 0.493 0.229 1
Cu11 0.999 0.350 0.356 1
```

=====

(6)
Below is a geometry-optimized TaFeRe2 structure, with properties calculated at the PBE-GGA level.

Calculated values
E (eV/atom): -11.30
Density of states at the Fermi level (states/eV per cell): 2.7

CIF file:
```
data_TaFeRe2
_space_group_name_H-M_alt 'P 1'
_space_group_IT_number 1
_cell_length_a 2.696
_cell_length_b 4.418
_cell_length_c 5.145
_cell_angle_alpha 90.00
_cell_angle_beta 99.07
_cell_angle_gamma 90.00
loop_
_space_group_symop_operation_xyz
'x,y,z'
loop_
_atom_site_label
_atom_site_fract_x
_atom_site_fract_y
_atom_site_fract_z
_atom_site_occupancy
Ta1 0.000 0.000 0.000 1
Fe1 0.500 0.000 0.500 1
Re1 0.254 0.500 0.740 1
Re2 0.746 0.500 0.260 1
```

=====

(7)
Below is a geometry-optimized ZnIn3 structure, with properties calculated at the PBE-GGA level.

Calculated values
E (eV/atom): -2.29
Density of states at the Fermi level (states/eV per cell): 1.9

CIF file:
```
data_ZnIn3
_space_group_name_H-M_alt 'P 1'
_space_group_IT_number 1
_cell_length_a 10.743
_cell_length_b 10.743
_cell_length_c 10.743
_cell_angle_alpha 17.59
_cell_angle_beta 17.59
_cell_angle_gamma 17.59
loop_
_space_group_symop_operation_xyz
'x,y,z'
loop_
_atom_site_label
_atom_site_fract_x
_atom_site_fract_y
_atom_site_fract_z
_atom_site_occupancy
Zn1 0.000 0.000 0.000 1
In1 0.404 0.404 0.404 1
In2 0.500 0.500 0.500 1
In3 0.596 0.596 0.596 1
```

=====

(8)
Below is a geometry-optimized Rb4Ce3VS8 structure, with properties calculated at the PBE-GGA level.

Calculated values
E_form (uncorrected) (meV/atom): -1547
E (eV/atom): -5.54
Density of states at the Fermi level (states/eV per cell): 13.8

CIF file:
```
data_Rb4Ce3VS8
_space_group_name_H-M_alt 'P 1'
_space_group_IT_number 1
_cell_length_a 9.007
_cell_length_b 9.007
_cell_length_c 9.007
_cell_angle_alpha 54.18
_cell_angle_beta 54.18
_cell_angle_gamma 54.18
loop_
_space_group_symop_operation_xyz
'x,y,z'
loop_
_atom_site_label
_atom_site_fract_x
_atom_site_fract_y
_atom_site_fract_z
_atom_site_occupancy
Rb1 0.000 0.000 0.000 1
Rb2 0.000 0.500 0.500 1
Rb3 0.500 0.000 0.500 1
Rb4 0.500 0.500 0.000 1
Ce1 0.000 0.000 0.500 1
Ce2 0.000 0.500 0.000 1
Ce3 0.500 0.000 0.000 1
V1 0.500 0.500 0.500 1
S1 0.233 0.233 0.233 1
S2 0.247 0.720 0.720 1
S3 0.280 0.280 0.753 1
S4 0.280 0.753 0.280 1
S5 0.720 0.247 0.720 1
S6 0.720 0.720 0.247 1
S7 0.753 0.280 0.280 1
S8 0.767 0.767 0.767 1
```

=====

(9)
Below is a geometry-optimized SiNi4Pb structure, with properties calculated at the PBE-GGA level.

Calculated values
E_form (uncorrected) (meV/atom): 181
E (eV/atom): -5.20
Density of states at the Fermi level (states/eV per cell): 2.2

CIF file:
```
data_SiNi4Pb
_space_group_name_H-M_alt 'P 1'
_space_group_IT_number 1
_cell_length_a 4.882
_cell_length_b 4.882
_cell_length_c 4.882
_cell_angle_alpha 60.00
_cell_angle_beta 60.00
_cell_angle_gamma 60.00
loop_
_space_group_symop_operation_xyz
'x,y,z'
loop_
_atom_site_label
_atom_site_fract_x
_atom_site_fract_y
_atom_site_fract_z
_atom_site_occupancy
Si1 0.000 0.000 0.000 1
Ni1 0.122 0.626 0.626 1
Ni2 0.626 0.122 0.626 1
Ni3 0.626 0.626 0.122 1
Ni4 0.626 0.626 0.626 1
Pb1 0.250 0.250 0.250 1
```

=====

(10)
Below is a geometry-optimized SrSm2Se4 structure, with properties calculated at the PBE-GGA level.

Calculated values
E_form (uncorrected) (meV/atom): -1933
E (eV/atom): -5.51
Distance to the lowest polymorph of the same formula (meV per atom): 7.6

CIF file:
```
data_SrSm2Se4
_space_group_name_H-M_alt 'P 1'
_space_group_IT_number 1
_cell_length_a 7.232
_cell_length_b 7.232
_cell_length_c 14.302
_cell_angle_alpha 90.00
_cell_angle_beta 90.00
_cell_angle_gamma 146.19
loop_
_space_group_symop_operation_xyz
'x,y,z'
loop_
_atom_site_label
_atom_site_fract_x
_atom_site_fract_y
_atom_site_fract_z
_atom_site_occupancy
Sr1 0.113 0.887 0.750 1
Sr2 0.887 0.113 0.250 1
Sm1 0.366 0.634 0.570 1
Sm2 0.366 0.634 0.930 1
Sm3 0.634 0.366 0.070 1
Sm4 0.634 0.366 0.430 1
Se1 0.000 0.000 0.000 1
Se2 0.000 0.000 0.500 1
Se3 0.271 0.729 0.117 1
Se4 0.271 0.729 0.383 1
Se5 0.453 0.547 0.750 1
Se6 0.547 0.453 0.250 1
Se7 0.729 0.271 0.617 1
Se8 0.729 0.271 0.883 1
```

=====

(11)
Below is a geometry-optimized NbPHCl2 structure, with properties calculated at the PBE-GGA level.

Calculated values
E (eV/atom): -4.39
Distance to the lowest polymorph of the same formula (meV per atom): 0.0
Density of states at the Fermi level (states/eV per cell): 2.9

CIF file:
```
data_NbPHCl2
_space_group_name_H-M_alt 'P 1'
_space_group_IT_number 1
_cell_length_a 4.961
_cell_length_b 4.961
_cell_length_c 4.822
_cell_angle_alpha 90.00
_cell_angle_beta 90.00
_cell_angle_gamma 90.00
loop_
_space_group_symop_operation_xyz
'x,y,z'
loop_
_atom_site_label
_atom_site_fract_x
_atom_site_fract_y
_atom_site_fract_z
_atom_site_occupancy
Nb1 0.000 0.000 0.000 1
P1 0.000 0.000 0.500 1
H1 0.500 0.500 0.500 1
Cl1 0.000 0.500 0.000 1
Cl2 0.500 0.000 0.000 1
```

=====

(12)
Below is a geometry-optimized BaSbN2O structure, with properties calculated at the PBE-GGA level.

Calculated values
E_form (uncorrected) (meV/atom): -371
E (eV/atom): -5.90
Density of states at the Fermi level (states/eV per cell): 3.1

CIF file:
```
data_BaSbN2O
_space_group_name_H-M_alt 'P 1'
_space_group_IT_number 1
_cell_length_a 4.156
_cell_length_b 4.156
_cell_length_c 4.305
_cell_angle_alpha 90.00
_cell_angle_beta 90.00
_cell_angle_gamma 90.00
loop_
_space_group_symop_operation_xyz
'x,y,z'
loop_
_atom_site_label
_atom_site_fract_x
_atom_site_fract_y
_atom_site_fract_z
_atom_site_occupancy
Ba1 0.000 0.000 0.000 1
Sb1 0.500 0.500 0.500 1
N1 0.000 0.500 0.500 1
N2 0.500 0.000 0.500 1
O1 0.500 0.500 0.000 1
```